## ZrRe2Br (PBE)

Data for ZrRe2Br after structural relaxation.

Cell lengths 3.1011, 3.1011, 26.0618 Å; angles 90.00, 90.00, 120.00 degrees
Space group R-3m (No. 166, hexagonal axes)
Unique sites:
Zr (0.0000, 0.0000, 0.0000) x3
Re (0.0000, 0.0000, 0.2506) x6
Br (0.0000, 0.0000, 0.5000) x3

Formation energy (no corrections) = 746 meV/atom
N(E_F) = 12.5 states/eV per cell
DFT total energy = -96.395 eV/cell
E above lowest polymorph = 321 meV/atom
V = 217.05 Å³/cell
Theoretical density = 12.5 g/cm³